Record 1
Crystalline RuS2O at its relaxed geometry. Source: the Alexandria database, functional PBE.

abc: 7.730 7.730 7.730
angles: 21.65 21.65 21.65
Element x y z (fractional)
Ru (0.000, 0.000, 0.000)
S (0.097, 0.097, 0.097)
S (0.903, 0.903, 0.903)
O (0.500, 0.500, 0.500)

Results
V   55 Å³/cell
Total magnetization   0.00 μB/atom
ΔE_f (raw)   770.4 meV/atom
SG   R-3m
Final energy   -4.85 eV/atom



Record 2
Crystalline Ru3SO at its relaxed geometry. Source: the Alexandria database, functional PBE.

abc: 4.075 4.075 4.075
angles: 90.00 90.00 90.00
Element x y z (fractional)
Ru (0.000, 0.000, 0.500)
Ru (0.000, 0.500, 0.000)
Ru (0.500, 0.000, 0.000)
S (0.500, 0.500, 0.500)
O (0.000, 0.000, 0.000)

Results
V   68 Å³/cell
Total magnetization   0.00 μB/atom
ΔE_f (raw)   647.4 meV/atom
SG   Pm-3m
Final energy   -6.74 eV/atom



Q: Look up the final energy of the second one.
A: -6.74 eV/atom